# 1
Below is Ti6Sn3As after structural relaxation, with properties calculated at the PBE-GGA level.

Unit cell a=5.679 b=8.703 c=8.703 alpha=113.70 beta=90.00 gamma=90.00
Element x y z (fractional)
Ti1 0.056 0.826 0.659
Ti2 0.556 0.659 0.826
Ti3 0.257 0.411 0.905
Ti4 0.757 0.905 0.411
Ti5 0.294 0.010 0.990
Ti6 0.683 0.276 0.724
Ti7 0.183 0.724 0.276
Ti8 0.794 0.990 0.010
Ti9 0.257 0.095 0.589
Ti10 0.757 0.589 0.095
Ti11 0.056 0.341 0.174
Ti12 0.556 0.174 0.341
Sn1 0.556 0.911 0.697
Sn2 0.056 0.697 0.911
Sn3 0.260 0.435 0.565
Sn4 0.760 0.565 0.435
Sn5 0.056 0.089 0.303
Sn6 0.556 0.303 0.089
As1 0.009 0.149 0.851
As2 0.509 0.851 0.149

Properties
As for the total DFT energy (no corrections): -6.622 eV/atom. The calculation puts the energy of formation at -219 meV per atom. Its total moment is 0.0 μB per formula unit. Its density of states at the Fermi level is 1.205 states/eV/atom.

---

# 2
Below is RbNb2N after structural relaxation, with properties calculated at the PBE-GGA level.

Unit cell a=6.622 b=6.622 c=6.622 alpha=60.00 beta=60.00 gamma=90.00
Element x y z (fractional)
Nb1 0.375 0.125 0.250
Nb2 0.375 0.625 0.250
Nb3 0.375 0.625 0.750
Nb4 0.875 0.625 0.750
Rb1 0.000 0.000 0.000
Rb2 0.750 0.250 0.500
N1 0.500 0.500 0.000
N2 0.250 0.750 0.500

Properties
As for the total DFT energy (no corrections): -6.834 eV/atom. Its total moment is 0.0 μB per formula unit. Its density of states at the Fermi level is 1.519 states/eV/atom.

---

# 3
Below is DyCuRh after structural relaxation, with properties calculated at the PBE-GGA level.

Unit cell a=5.122 b=7.667 c=6.975 alpha=82.95 beta=68.46 gamma=70.48
Element x y z (fractional)
Dy1 0.236 0.247 0.282
Dy2 0.483 0.753 0.282
Dy3 0.517 0.247 0.718
Dy4 0.764 0.753 0.718
Cu1 0.831 0.000 0.339
Cu2 0.086 0.828 0.000
Cu3 0.914 0.172 0.000
Cu4 0.169 0.000 0.661
Rh1 0.652 0.371 0.325
Rh2 0.023 0.629 0.325
Rh3 0.977 0.371 0.675
Rh4 0.348 0.629 0.675

Properties
As for the total DFT energy (no corrections): -5.601 eV/atom. The calculation puts the energy of formation at -252 meV per atom. Its total moment is 0.0 μB per formula unit. The energy above the most stable polymorph in this dataset comes out at 314 meV/atom. Its density of states at the Fermi level is 0.660 states/eV/atom.

---

# 4
Below is Hf6AsP3 after structural relaxation, with properties calculated at the PBE-GGA level.

Unit cell a=6.587 b=7.853 c=7.853 alpha=105.01 beta=90.00 gamma=90.00
Element x y z (fractional)
Hf1 0.167 0.710 0.624
Hf2 0.667 0.624 0.710
Hf3 0.241 0.459 0.916
Hf4 0.741 0.916 0.459
Hf5 0.249 0.009 0.991
Hf6 0.606 0.243 0.757
Hf7 0.106 0.757 0.243
Hf8 0.749 0.991 0.009
Hf9 0.241 0.084 0.541
Hf10 0.741 0.541 0.084
Hf11 0.167 0.376 0.290
Hf12 0.667 0.290 0.376
As1 0.984 0.175 0.825
As2 0.484 0.825 0.175
P1 0.486 0.914 0.715
P2 0.986 0.715 0.914
P3 0.358 0.414 0.586
P4 0.858 0.586 0.414
P5 0.986 0.086 0.285
P6 0.486 0.285 0.086

Properties
As for the total DFT energy (no corrections): -8.933 eV/atom. The calculation puts the energy of formation at -873 meV per atom. Its total moment is 0.0 μB per formula unit. Its density of states at the Fermi level is 0.490 states/eV/atom.

---

# 5
Below is ScAlCl6 after structural relaxation, with properties calculated at the PBE-GGA level.

Unit cell a=6.996 b=6.996 c=6.025 alpha=97.44 beta=97.44 gamma=128.99
Element x y z (fractional)
Sc1 0.000 0.000 0.000
Al1 0.500 0.500 0.500
Cl1 0.255 0.255 0.745
Cl2 0.398 0.138 0.268
Cl3 0.745 0.745 0.255
Cl4 0.862 0.602 0.732
Cl5 0.602 0.862 0.732
Cl6 0.138 0.398 0.268

Properties
As for the total DFT energy (no corrections): -4.373 eV/atom. Its total moment is 0.0 μB per formula unit. Its density of states at the Fermi level is 0.000 states/eV/atom.

---

# 6
Below is Dy4Y5Tm4 after structural relaxation, with properties calculated at the PBE-GGA level.

Unit cell a=4.992 b=9.361 c=9.361 alpha=85.92 beta=74.54 gamma=74.54
Element x y z (fractional)
Dy1 0.924 0.461 0.692
Dy2 0.616 0.308 0.461
Dy3 0.076 0.539 0.308
Dy4 0.384 0.692 0.539
Y1 0.693 0.845 0.769
Y2 0.307 0.155 0.231
Y3 0.000 0.000 0.000
Y4 0.538 0.769 0.155
Y5 0.462 0.231 0.845
Tm1 0.768 0.386 0.077
Tm2 0.232 0.614 0.923
Tm3 0.845 0.923 0.386
Tm4 0.155 0.077 0.614

Properties
As for the total DFT energy (no corrections): -5.254 eV/atom. The calculation puts the energy of formation at 25 meV per atom. Its total moment is 0.0 μB per formula unit. Its density of states at the Fermi level is 1.428 states/eV/atom.

---

# 7
Below is Mg4ZnAg3 after structural relaxation, with properties calculated at the PBE-GGA level.

Unit cell a=4.686 b=4.686 c=8.185 alpha=73.37 beta=73.37 gamma=60.00
Element x y z (fractional)
Mg1 0.875 0.875 0.374
Mg2 0.375 0.375 0.875
Mg3 0.125 0.125 0.626
Mg4 0.625 0.625 0.125
Zn1 0.000 0.000 0.000
Ag1 0.250 0.250 0.250
Ag2 0.750 0.750 0.750
Ag3 0.500 0.500 0.500

Properties
As for the total DFT energy (no corrections): -2.224 eV/atom. The calculation puts the energy of formation at -198 meV per atom. Its total moment is 0.0 μB per formula unit. Its density of states at the Fermi level is 0.335 states/eV/atom.

---

# 8
Below is LiGe2Te2 after structural relaxation, with properties calculated at the PBE-GGA level.

Unit cell a=7.920 b=7.920 c=4.067 alpha=90.00 beta=90.00 gamma=90.00
Element x y z (fractional)
Ge1 0.128 0.628 0.500
Ge2 0.628 0.872 0.500
Ge3 0.872 0.372 0.500
Ge4 0.372 0.128 0.500
Te1 0.315 0.815 0.000
Te2 0.815 0.685 0.000
Te3 0.685 0.185 0.000
Te4 0.185 0.315 0.000
Li1 0.000 0.000 0.000
Li2 0.500 0.500 0.000

Properties
As for the total DFT energy (no corrections): -3.582 eV/atom. Its total moment is 0.0 μB per formula unit. The energy above the most stable polymorph in this dataset comes out at 19 meV/atom. Its density of states at the Fermi level is 0.435 states/eV/atom.

---

# 9
Below is LaPaCd17 after structural relaxation, with properties calculated at the PBE-GGA level.

Unit cell a=7.687 b=7.687 c=7.687 alpha=82.09 beta=82.09 gamma=82.09
Site moments in Bohr magnetons follow the coordinates.
Element x y z (fractional)
La1 0.665 0.665 0.665  0.01
Pa1 0.329 0.329 0.329  1.28
Cd1 0.299 0.002 0.697  0.00
Cd2 0.697 0.299 0.002  0.00
Cd3 0.002 0.697 0.299  0.00
Cd4 0.299 0.697 0.002  0.00
Cd5 0.002 0.299 0.697  0.00
Cd6 0.697 0.002 0.299  0.00
Cd7 0.346 0.874 0.346  0.00
Cd8 0.346 0.346 0.874  0.00
Cd9 0.874 0.346 0.346  0.00
Cd10 0.624 0.201 0.624  0.01
Cd11 0.624 0.624 0.201  0.01
Cd12 0.201 0.624 0.624  0.01
Cd13 0.980 0.522 0.980  0.00
Cd14 0.980 0.980 0.522  0.00
Cd15 0.522 0.980 0.980  0.00
Cd16 0.907 0.907 0.907  0.00
Cd17 0.105 0.105 0.105  0.00

Properties
As for the total DFT energy (no corrections): -1.641 eV/atom. The calculation puts the energy of formation at -63 meV per atom. Its total moment is 1.6 μB per formula unit. Its density of states at the Fermi level is 0.602 states/eV/atom.

---

# 10
Below is Li4InCo after structural relaxation, with properties calculated at the PBE-GGA level.

Unit cell a=4.973 b=4.973 c=4.973 alpha=60.00 beta=60.00 gamma=60.00
Site moments in Bohr magnetons follow the coordinates.
Element x y z (fractional)
Li1 0.871 0.376 0.376  -0.03
Li2 0.376 0.376 0.871  -0.03
Li3 0.376 0.871 0.376  -0.03
Li4 0.376 0.376 0.376  -0.03
In1 0.000 0.000 0.000  0.00
Co1 0.750 0.750 0.750  1.19

Properties
As for the total DFT energy (no corrections): -2.763 eV/atom. The calculation puts the energy of formation at 154 meV per atom. Its total moment is 1.0 μB per formula unit. Its density of states at the Fermi level is 1.005 states/eV/atom.

---

# 11
Below is Be4HgGe3O12 after structural relaxation, with properties calculated at the PBE-GGA level.

Unit cell a=6.191 b=6.191 c=6.191 alpha=106.42 beta=106.42 gamma=106.42
Site moments in Bohr magnetons follow the coordinates.
Element x y z (fractional)
Be1 0.938 0.062 0.500  0.00
Be2 0.062 0.500 0.938  0.00
Be3 0.500 0.938 0.062  0.00
Be4 0.500 0.500 0.500  0.00
Hg1 0.000 0.000 0.000  0.07
Ge1 0.561 0.439 0.000  -0.01
Ge2 0.439 0.000 0.561  -0.01
Ge3 0.000 0.561 0.439  -0.01
O1 0.500 0.343 0.657  0.07
O2 0.905 0.500 0.095  0.14
O3 0.095 0.905 0.500  0.14
O4 0.500 0.095 0.905  0.14
O5 0.360 0.956 0.233  0.18
O6 0.233 0.360 0.956  0.18
O7 0.956 0.233 0.360  0.18
O8 0.640 0.767 0.044  0.18
O9 0.044 0.640 0.767  0.18
O10 0.767 0.044 0.640  0.18
O11 0.657 0.500 0.343  0.07
O12 0.343 0.657 0.500  0.07

Properties
As for the total DFT energy (no corrections): -6.082 eV/atom. Its total moment is 2.1 μB per formula unit. Its density of states at the Fermi level is 0.591 states/eV/atom.

---

# 12
Below is AsIr2Os after structural relaxation, with properties calculated at the PBE-GGA level.

Unit cell a=4.650 b=4.650 c=4.650 alpha=128.78 beta=128.78 gamma=75.36
Element x y z (fractional)
As1 0.750 0.250 0.500
Ir1 0.000 0.000 0.000
Ir2 0.250 0.750 0.500
Os1 0.500 0.500 0.000

Properties
As for the total DFT energy (no corrections): -8.008 eV/atom. The calculation puts the energy of formation at 392 meV per atom. Its total moment is 0.0 μB per formula unit. Its density of states at the Fermi level is 0.987 states/eV/atom.

---

# 13
Below is SrTaZn after structural relaxation, with properties calculated at the PBE-GGA level.

Unit cell a=6.446 b=6.446 c=6.446 alpha=152.42 beta=144.53 gamma=45.50
Element x y z (fractional)
Sr1 0.006 0.006 0.000
Ta1 0.293 0.293 0.000
Zn1 0.702 0.702 0.000

Properties
As for the total DFT energy (no corrections): -4.386 eV/atom. The calculation puts the energy of formation at 550 meV per atom. Its total moment is 0.0 μB per formula unit. The energy above the most stable polymorph in this dataset comes out at 58 meV/atom. Its density of states at the Fermi level is 1.383 states/eV/atom.

---

# 14
Below is Pm5Tl4Hg after structural relaxation, with properties calculated at the PBE-GGA level.

Unit cell a=3.764 b=3.764 c=20.429 alpha=90.00 beta=90.00 gamma=90.00
Site moments in Bohr magnetons follow the coordinates.
Element x y z (fractional)
Pm1 0.500 0.500 0.095  0.08
Pm2 0.500 0.500 0.297  0.00
Pm3 0.500 0.500 0.500  0.01
Pm4 0.500 0.500 0.703  0.00
Pm5 0.500 0.500 0.905  0.08
Tl1 0.000 0.000 0.194  0.00
Tl2 0.000 0.000 0.398  0.00
Tl3 0.000 0.000 0.602  0.00
Tl4 0.000 0.000 0.806  0.00
Hg1 0.000 0.000 0.000  0.01

Properties
As for the total DFT energy (no corrections): -3.756 eV/atom. The calculation puts the energy of formation at -404 meV per atom. Its total moment is 0.3 μB per formula unit. Its density of states at the Fermi level is 1.050 states/eV/atom.

---

# 15
Below is Ho2ZnSi3Pt4 after structural relaxation, with properties calculated at the PBE-GGA level.

Unit cell a=4.166 b=4.166 c=10.119 alpha=90.00 beta=90.00 gamma=90.00
Element x y z (fractional)
Ho1 0.500 0.000 0.254
Ho2 0.000 0.500 0.746
Zn1 0.500 0.500 0.500
Si1 0.000 0.000 0.500
Si2 0.500 0.000 0.868
Si3 0.000 0.500 0.132
Pt1 0.500 0.500 0.000
Pt2 0.000 0.000 0.000
Pt3 0.500 0.000 0.638
Pt4 0.000 0.500 0.362

Properties
As for the total DFT energy (no corrections): -6.119 eV/atom. Its total moment is 0.0 μB per formula unit. Its density of states at the Fermi level is 0.452 states/eV/atom.

---

# 16
Below is Pm3BiH after structural relaxation, with properties calculated at the PBE-GGA level.

Unit cell a=4.975 b=4.975 c=4.975 alpha=90.00 beta=90.00 gamma=90.00
Element x y z (fractional)
H1 0.000 0.000 0.000
Bi1 0.500 0.500 0.500
Pm1 0.000 0.500 0.000
Pm2 0.000 0.000 0.500
Pm3 0.500 0.000 0.000

Properties
As for the total DFT energy (no corrections): -4.798 eV/atom. Its total moment is 0.0 μB per formula unit. The energy above the most stable polymorph in this dataset comes out at 0 meV/atom. Its density of states at the Fermi level is 0.820 states/eV/atom.

---

# 17
Below is Pm6Sm2Er3Tm after structural relaxation, with properties calculated at the PBE-GGA level.

Unit cell a=6.241 b=6.241 c=11.852 alpha=95.03 beta=95.03 gamma=120.00
Element x y z (fractional)
Pm1 0.916 0.584 0.748
Pm2 0.752 0.752 0.252
Pm3 0.084 0.416 0.252
Pm4 0.584 0.916 0.748
Pm5 0.248 0.248 0.748
Pm6 0.416 0.084 0.252
Sm1 0.333 0.667 0.000
Sm2 0.667 0.333 0.000
Er1 0.166 0.834 0.500
Er2 0.834 0.166 0.500
Er3 0.500 0.500 0.500
Tm1 0.000 0.000 0.000

Properties
As for the total DFT energy (no corrections): -4.661 eV/atom. The calculation puts the energy of formation at 15 meV per atom. Its total moment is 0.0 μB per formula unit. Its density of states at the Fermi level is 1.193 states/eV/atom.